(1)
The following is a SCAN calculation of a crystal of CaTa2Tl relaxed with PBEsol, from the Alexandria database.

extended XYZ file:
```
4
Lattice="3.3219 0.0000 0.0000 0.0000 4.7958 0.0000 0.0000 0.0000 5.2076" Properties=species:S:1:pos:R:3 pbc="T T T"
Ca 0.0000 0.0000 0.0000
Ta 0.0000 2.3979 2.6038
Ta 1.6609 0.0000 2.6038
Tl 1.6609 2.3979 0.0000
```

Computed properties:
DFT formation energy = 2.15 eV per formula unit
Magnetization = 0.0 μB/cell
Polymorph energy (0 for the lowest one) = 0 meV per atom

***

(2)
The following is a SCAN calculation of a crystal of KRu2Se relaxed with PBEsol, from the Alexandria database.

extended XYZ file:
```
4
Lattice="5.3439 -1.4445 0.0000 5.3439 1.4445 0.0000 -2.2896 0.0000 5.4972" Properties=species:S:1:pos:R:3 pbc="T T T"
K 0.0000 0.0000 0.0000
Ru 0.7060 0.0000 3.3469
Ru 7.6921 0.0000 2.1503
Se 4.1991 0.0000 2.7486
```

Computed properties:
Formation energy without anion corrections = 0.4703 eV/atom
Magnetization = 0.0 μB/cell

***

(3)
The following is a SCAN calculation of a crystal of MgRePb relaxed with PBEsol, from the Alexandria database.

extended XYZ file:
```
3
Lattice="0.0000 3.2012 3.2012 3.2012 0.0000 3.2012 3.2012 3.2012 0.0000" Properties=species:S:1:pos:R:3 pbc="T T T"
Mg 0.0000 0.0000 0.0000
Re 3.2012 3.2012 3.2012
Pb 4.8018 4.8018 4.8018
```

Computed properties:
DFT formation energy = 3.19 eV per formula unit
Magnetization = 0.0 μB/cell
Polymorph energy (0 for the lowest one) = 353 meV per atom

***

Q: Number 2 is which compound?
A: KRu2Se

***

What did the first record say?
The following is a SCAN calculation of a crystal of CaTa2Tl relaxed with PBEsol, from the Alexandria database.

extended XYZ file:
```
4
Lattice="3.3219 0.0000 0.0000 0.0000 4.7958 0.0000 0.0000 0.0000 5.2076" Properties=species:S:1:pos:R:3 pbc="T T T"
Ca 0.0000 0.0000 0.0000
Ta 0.0000 2.3979 2.6038
Ta 1.6609 0.0000 2.6038
Tl 1.6609 2.3979 0.0000
```

Computed properties:
DFT formation energy = 2.15 eV per formula unit
Magnetization = 0.0 μB/cell
Polymorph energy (0 for the lowest one) = 0 meV per atom